[1]
# BaReTe2N, single point on PBEsol structure, DFT SCAN
data_BaReTe2N
_cell_length_a 6.277
_cell_length_b 6.277
_cell_length_c 4.378
_cell_angle_alpha 90.00
_cell_angle_beta 90.00
_cell_angle_gamma 90.00
_symmetry_space_group_name_H-M 'P 4/m m m'
_symmetry_Int_Tables_number 123
_symmetry_space_group_name_Hall '-P 4 2'
loop_
_atom_site_label
_atom_site_type_symbol
_atom_site_fract_x
_atom_site_fract_y
_atom_site_fract_z
Ba1 Ba 0.000 0.000 0.000
Re1 Re 0.500 0.500 0.500
Te1 Te 0.000 0.500 0.000
N1 N 0.000 0.000 0.500
# formation energy without anion corrections = 2.05 eV/atom
# spin magnetization = 3.20 μB per formula unit
# final energy = -184.208 eV per cell

[2]
# BaRhN2, single point on PBEsol structure, DFT SCAN
data_BaRhN2
_cell_length_a 6.065
_cell_length_b 6.065
_cell_length_c 6.065
_cell_angle_alpha 90.00
_cell_angle_beta 90.00
_cell_angle_gamma 90.00
_symmetry_space_group_name_H-M 'F m -3 m'
_symmetry_Int_Tables_number 225
_symmetry_space_group_name_Hall '-F 4 2 3'
loop_
_atom_site_label
_atom_site_type_symbol
_atom_site_fract_x
_atom_site_fract_y
_atom_site_fract_z
Ba1 Ba 0.000 0.000 0.000
Rh1 Rh 0.000 0.000 0.500
N1 N 0.250 0.250 0.250
# formation energy without anion corrections = 1.11 eV/atom
# spin magnetization = 0.00 μB per formula unit
# final energy = -349.912 eV per cell

[3]
# BaRh3N, single point on PBEsol structure, DFT SCAN
data_BaRh3N
_cell_length_a 5.018
_cell_length_b 5.018
_cell_length_c 5.018
_cell_angle_alpha 90.00
_cell_angle_beta 90.00
_cell_angle_gamma 90.00
_symmetry_space_group_name_H-M 'P m -3 m'
_symmetry_Int_Tables_number 221
_symmetry_space_group_name_Hall '-P 4 2 3'
loop_
_atom_site_label
_atom_site_type_symbol
_atom_site_fract_x
_atom_site_fract_y
_atom_site_fract_z
Ba1 Ba 0.000 0.000 0.000
Rh1 Rh 0.000 0.000 0.500
N1 N 0.500 0.500 0.500
# formation energy without anion corrections = 2.87 eV/atom
# spin magnetization = 4.32 μB per formula unit
# final energy = -135.806 eV per cell

[4]
# Ba2RuN2, single point on PBEsol structure, DFT SCAN
data_Ba2RuN2
_cell_length_a 4.129
_cell_length_b 4.129
_cell_length_c 13.011
_cell_angle_alpha 90.00
_cell_angle_beta 90.00
_cell_angle_gamma 90.00
_symmetry_space_group_name_H-M 'I 4/m m m'
_symmetry_Int_Tables_number 139
_symmetry_space_group_name_Hall '-I 4 2'
loop_
_atom_site_label
_atom_site_type_symbol
_atom_site_fract_x
_atom_site_fract_y
_atom_site_fract_z
Ba1 Ba 0.000 0.000 0.139
Ru1 Ru 0.000 0.000 0.500
N1 N 0.000 0.000 0.362
# formation energy without anion corrections = -0.54 eV/atom
# spin magnetization = 0.00 μB per formula unit
# final energy = -270.414 eV per cell

[5]
# Ba4RuN4, single point on PBEsol structure, DFT SCAN
data_Ba4RuN4
_cell_length_a 6.915
_cell_length_b 6.973
_cell_length_c 9.094
_cell_angle_alpha 83.45
_cell_angle_beta 74.39
_cell_angle_gamma 63.83
_symmetry_space_group_name_H-M 'P -1'
_symmetry_Int_Tables_number 2
loop_
_symmetry_equiv_pos_as_xyz
'x,y,z'
'-x,-y,-z'
loop_
_atom_site_label
_atom_site_type_symbol
_atom_site_fract_x
_atom_site_fract_y
_atom_site_fract_z
Ba1 Ba 0.021 0.232 0.059
Ba2 Ba 0.117 0.308 0.632
Ba3 Ba 0.283 0.785 0.544
Ba4 Ba 0.431 0.730 0.133
Ru1 Ru 0.365 0.252 0.248
N1 N 0.163 0.142 0.344
N2 N 0.227 0.470 0.107
N3 N 0.323 0.475 0.382
N4 N 0.347 0.934 0.835
# formation energy without anion corrections = -0.48 eV/atom
# spin magnetization = 0.00 μB per formula unit
# final energy = -469.088 eV per cell

[6]
# Ba2RuN3, single point on PBEsol structure, DFT SCAN
data_Ba2RuN3
_cell_length_a 5.889
_cell_length_b 11.735
_cell_length_c 12.958
_cell_angle_alpha 90.00
_cell_angle_beta 90.00
_cell_angle_gamma 90.00
_symmetry_space_group_name_H-M 'C m c e'
_symmetry_Int_Tables_number 64
_symmetry_space_group_name_Hall '-C 2ac 2'
loop_
_atom_site_label
_atom_site_type_symbol
_atom_site_fract_x
_atom_site_fract_y
_atom_site_fract_z
Ba1 Ba 0.000 0.064 0.137
Ba2 Ba 0.000 0.140 0.581
Ru1 Ru 0.000 0.239 0.336
N1 N 0.000 0.084 0.372
N2 N 0.000 0.161 0.948
N3 N 0.250 0.239 0.750
# formation energy without anion corrections = -0.52 eV/atom
# spin magnetization = 0.00 μB per formula unit
# final energy = -1159.356 eV per cell

[7]
# BaRuS2N, single point on PBEsol structure, DFT SCAN
data_BaRuS2N
_cell_length_a 4.977
_cell_length_b 4.977
_cell_length_c 3.734
_cell_angle_alpha 90.00
_cell_angle_beta 90.00
_cell_angle_gamma 90.00
_symmetry_space_group_name_H-M 'P 4/m m m'
_symmetry_Int_Tables_number 123
_symmetry_space_group_name_Hall '-P 4 2'
loop_
_atom_site_label
_atom_site_type_symbol
_atom_site_fract_x
_atom_site_fract_y
_atom_site_fract_z
Ba1 Ba 0.000 0.000 0.000
Ru1 Ru 0.500 0.500 0.500
S1 S 0.000 0.500 0.500
N1 N 0.500 0.500 0.000
# formation energy without anion corrections = -0.68 eV/atom
# spin magnetization = 0.00 μB per formula unit
# final energy = -106.307 eV per cell

[8]
# Ba3SN, single point on PBEsol structure, DFT SCAN
data_Ba3SN
_cell_length_a 5.360
_cell_length_b 5.360
_cell_length_c 5.360
_cell_angle_alpha 90.00
_cell_angle_beta 90.00
_cell_angle_gamma 90.00
_symmetry_space_group_name_H-M 'P m -3 m'
_symmetry_Int_Tables_number 221
_symmetry_space_group_name_Hall '-P 4 2 3'
loop_
_atom_site_label
_atom_site_type_symbol
_atom_site_fract_x
_atom_site_fract_y
_atom_site_fract_z
Ba1 Ba 0.000 0.000 0.500
S1 S 0.500 0.500 0.500
N1 N 0.000 0.000 0.000
# formation energy without anion corrections = -0.86 eV/atom
# spin magnetization = 0.00 μB per formula unit
# final energy = -141.892 eV per cell

[9]
# BaSnS2N, single point on PBEsol structure, DFT SCAN
data_BaSnS2N
_cell_length_a 5.661
_cell_length_b 5.661
_cell_length_c 4.625
_cell_angle_alpha 90.00
_cell_angle_beta 90.00
_cell_angle_gamma 90.00
_symmetry_space_group_name_H-M 'P 4/m m m'
_symmetry_Int_Tables_number 123
_symmetry_space_group_name_Hall '-P 4 2'
loop_
_atom_site_label
_atom_site_type_symbol
_atom_site_fract_x
_atom_site_fract_y
_atom_site_fract_z
Ba1 Ba 0.000 0.000 0.000
Sn1 Sn 0.500 0.500 0.500
S1 S 0.000 0.500 0.000
N1 N 0.000 0.000 0.500
# formation energy without anion corrections = 0.79 eV/atom
# spin magnetization = 2.58 μB per formula unit
# final energy = -100.085 eV per cell

[10]
# BaSrS2N, single point on PBEsol structure, DFT SCAN
data_BaSrS2N
_cell_length_a 5.501
_cell_length_b 5.501
_cell_length_c 4.733
_cell_angle_alpha 90.00
_cell_angle_beta 90.00
_cell_angle_gamma 90.00
_symmetry_space_group_name_H-M 'P 4/m m m'
_symmetry_Int_Tables_number 123
_symmetry_space_group_name_Hall '-P 4 2'
loop_
_atom_site_label
_atom_site_type_symbol
_atom_site_fract_x
_atom_site_fract_y
_atom_site_fract_z
Ba1 Ba 0.000 0.000 0.000
Sr1 Sr 0.500 0.500 0.500
S1 S 0.000 0.500 0.500
N1 N 0.500 0.500 0.000
# formation energy without anion corrections = -0.67 eV/atom
# spin magnetization = 3.00 μB per formula unit
# final energy = -93.726 eV per cell

[11]
# BaTcS2N, single point on PBEsol structure, DFT SCAN
data_BaTcS2N
_cell_length_a 5.586
_cell_length_b 5.586
_cell_length_c 4.445
_cell_angle_alpha 90.00
_cell_angle_beta 90.00
_cell_angle_gamma 90.00
_symmetry_space_group_name_H-M 'P 4/m m m'
_symmetry_Int_Tables_number 123
_symmetry_space_group_name_Hall '-P 4 2'
loop_
_atom_site_label
_atom_site_type_symbol
_atom_site_fract_x
_atom_site_fract_y
_atom_site_fract_z
Ba1 Ba 0.000 0.000 0.000
Tc1 Tc 0.500 0.500 0.500
S1 S 0.000 0.500 0.000
N1 N 0.000 0.000 0.500
# formation energy without anion corrections = 1.55 eV/atom
# spin magnetization = 6.82 μB per formula unit
# final energy = -95.403 eV per cell

[12]
# BaTcSN2, single point on PBEsol structure, DFT SCAN
data_BaTcSN2
_cell_length_a 4.271
_cell_length_b 4.271
_cell_length_c 6.089
_cell_angle_alpha 90.00
_cell_angle_beta 90.00
_cell_angle_gamma 90.00
_symmetry_space_group_name_H-M 'P 4/m m m'
_symmetry_Int_Tables_number 123
_symmetry_space_group_name_Hall '-P 4 2'
loop_
_atom_site_label
_atom_site_type_symbol
_atom_site_fract_x
_atom_site_fract_y
_atom_site_fract_z
Ba1 Ba 0.000 0.000 0.000
Tc1 Tc 0.500 0.500 0.500
S1 S 0.000 0.000 0.500
N1 N 0.000 0.500 0.000
# formation energy without anion corrections = 2.02 eV/atom
# spin magnetization = 3.72 μB per formula unit
# final energy = -92.696 eV per cell